First-principles (PBE) data for Sc3Ga2Au after structural relaxation, as listed in Alexandria via LeMat-Bulk.

Its density of states at the Fermi level is 3.3 states/eV/f.u. The calculation puts the formation energy from the elements at -63.3 kJ per mole of atoms.

It has space group P4/mmm (No. 123), with a = 3.260 Å, b = 3.260 Å, c = 10.891 Å, α = 90.00°, β = 90.00° and γ = 90.00°. Symmetry generates all atoms from Sc at (0.000, 0.000, 0.000), Sc at (0.000, 0.000, 0.333), Ga at (0.500, 0.500, 0.168) and Au at (0.500, 0.500, 0.500).